Record 1
A plane-wave DFT calculation with PBE-GGA was carried out for an optimized crystal structure of ErThInCu.

Structure (POSCAR):
```
ErThInCu
1.0
5.230 0.000 0.000
2.615 4.529 0.000
2.615 1.510 4.270
In Cu Th Er
1 1 1 1
Direct
0.750 0.750 0.750
0.250 0.250 0.250
0.000 0.000 0.000
0.500 0.500 0.500
```

Computed properties:
For the energy relative to the elements, the calculation gives -0.162 eV/atom. The total moment is 0.0 Bohr magnetons per cell. The density is 9.5 g/cm³. For the final energy, the calculation gives -19.47 eV per cell.

***

Record 2
A plane-wave DFT calculation with PBE-GGA was carried out for an optimized crystal structure of ErTiInCu.

Structure (POSCAR):
```
ErTiInCu
1.0
-1.909 -4.392 -0.882
-0.305 -3.286 3.581
-4.344 -1.183 1.855
In Er Ti Cu
1 1 1 1
Direct
0.000 0.000 0.000
0.750 0.750 0.750
0.250 0.250 0.250
0.500 0.500 0.500
```

Computed properties:
For the energy relative to the elements, the calculation gives -0.094 eV/atom. The total moment is 1.3 Bohr magnetons per cell. The density is 8.0 g/cm³. For the final energy, the calculation gives -19.67 eV per cell.

***

Record 3
A plane-wave DFT calculation with PBE-GGA was carried out for an optimized crystal structure of YErInCu.

Structure (POSCAR):
```
YErInCu
1.0
-4.463 -2.072 1.500
-0.548 -5.113 0.125
-0.312 -2.443 4.516
Cu In Y Er
1 1 1 1
Direct
0.000 0.000 0.000
0.500 0.500 0.500
0.750 0.750 0.750
0.250 0.250 0.250
```

Computed properties:
For the energy relative to the elements, the calculation gives -0.326 eV/atom. The total moment is 0.0 Bohr magnetons per cell. The density is 7.5 g/cm³. For the final energy, the calculation gives -19.16 eV per cell.

***

Record 4
A plane-wave DFT calculation with PBE-GGA was carried out for an optimized crystal structure of ErZrInCu.

Structure (POSCAR):
```
ErZrInCu
1.0
-2.877 2.633 -3.093
-3.841 -2.184 -2.291
-4.662 1.152 1.311
Er Zr In Cu
1 1 1 1
Direct
0.500 0.500 0.500
0.000 0.000 0.000
0.250 0.250 0.250
0.750 0.750 0.750
```

Computed properties:
For the energy relative to the elements, the calculation gives -0.170 eV/atom. The total moment is 0.8 Bohr magnetons per cell. The density is 8.3 g/cm³. For the final energy, the calculation gives -20.63 eV per cell.

***

Record 5
A plane-wave DFT calculation with PBE-GGA was carried out for an optimized crystal structure of Er4Cu3Ir.

Structure (POSCAR):
```
Er4Cu3Ir
1.0
-2.615 0.560 -2.575
-0.206 -4.319 -0.730
-7.314 -0.874 7.240
Er Cu Ir
4 3 1
Direct
0.000 0.500 0.866
0.500 0.500 0.354
0.500 0.000 0.641
0.000 0.000 0.139
0.000 0.500 0.572
0.500 0.000 0.922
0.000 0.000 0.429
0.500 0.500 0.079
```

Computed properties:
For the energy relative to the elements, the calculation gives -0.468 eV/atom. The total moment is 0.0 Bohr magnetons per cell. The density is 10.4 g/cm³. For the final energy, the calculation gives -43.15 eV per cell.

***

Record 6
A plane-wave DFT calculation with PBE-GGA was carried out for an optimized crystal structure of ErCuIr.

Structure (POSCAR):
```
ErCuIr
1.0
-0.703 0.913 -3.271
-1.556 -3.923 -0.760
-2.599 3.099 1.424
Er Cu Ir
1 1 1
Direct
0.667 0.667 0.333
0.167 0.000 0.000
0.167 0.333 0.667
```

Computed properties:
Its energy relative to the lowest polymorph listed for this composition is 0.139 eV per atom. For the energy relative to the elements, the calculation gives -0.470 eV/atom. The total moment is 0.0 Bohr magnetons per cell. The density is 12.7 g/cm³. For the final energy, the calculation gives -18.93 eV per cell.

***

Record 7
A plane-wave DFT calculation with PBE-GGA was carried out for an optimized crystal structure of ErCuIr.

Structure (POSCAR):
```
ErCuIr
1.0
3.407 0.000 0.000
0.000 3.407 0.000
-1.703 -1.703 4.537
Ir Cu Er
1 1 1
Direct
0.269 0.269 0.539
0.635 0.635 0.269
0.946 0.946 0.892
```

Computed properties:
Its energy relative to the lowest polymorph listed for this composition is 0.257 eV per atom. For the energy relative to the elements, the calculation gives -0.353 eV/atom. The total moment is 0.0 Bohr magnetons per cell. The density is 13.3 g/cm³. For the final energy, the calculation gives -18.58 eV per cell.

***

Record 8
A plane-wave DFT calculation with PBE-GGA was carried out for an optimized crystal structure of Er8CuIr2.

Structure (POSCAR):
```
Er8CuIr2
1.0
5.705 0.113 -0.922
-1.814 6.749 -2.768
-0.018 -0.035 7.517
Cu Ir Er
1 2 8
Direct
0.139 0.002 0.002
0.486 0.692 0.317
0.486 0.317 0.692
0.583 0.078 0.341
0.383 0.668 0.931
0.178 0.368 0.368
0.383 0.931 0.668
0.583 0.341 0.078
0.989 0.228 0.774
0.799 0.636 0.636
0.989 0.774 0.228
```

Computed properties:
For the energy relative to the elements, the calculation gives -0.356 eV/atom. The total moment is 0.0 Bohr magnetons per cell. The density is 10.2 g/cm³. For the final energy, the calculation gives -62.24 eV per cell.

***

Record 9
A plane-wave DFT calculation with PBE-GGA was carried out for an optimized crystal structure of ErCu4Ir.

Structure (POSCAR):
```
ErCu4Ir
1.0
-0.581 4.852 0.778
-2.151 1.599 4.160
2.698 2.292 3.458
Cu Ir Er
4 1 1
Direct
0.624 0.624 0.128
0.128 0.624 0.624
0.624 0.128 0.624
0.624 0.624 0.624
0.250 0.250 0.250
0.000 0.000 0.000
```

Computed properties:
For the energy relative to the elements, the calculation gives -0.250 eV/atom. The total moment is 0.0 Bohr magnetons per cell. The density is 11.9 g/cm³. For the final energy, the calculation gives -31.31 eV per cell.

***

Record 10
A plane-wave DFT calculation with PBE-GGA was carried out for an optimized crystal structure of ErCuIr.

Structure (POSCAR):
```
ErCuIr
1.0
4.316 0.000 2.423
1.505 4.453 2.374
-0.118 0.015 5.264
Cu Ir Er
2 2 2
Direct
0.000 0.000 0.000
0.500 0.000 0.000
0.500 0.000 0.500
0.500 0.500 0.000
0.123 0.627 0.627
0.877 0.373 0.373
```

Computed properties:
Its energy relative to the lowest polymorph listed for this composition is 0.000 eV per atom. For the energy relative to the elements, the calculation gives -0.609 eV/atom. The total moment is 0.0 Bohr magnetons per cell. The density is 13.7 g/cm³. For the final energy, the calculation gives -38.70 eV per cell.

***

Record 11
A plane-wave DFT calculation with PBE-GGA was carried out for an optimized crystal structure of Er4CuIr2.

Structure (POSCAR):
```
Er4CuIr2
1.0
-3.091 3.620 0.538
-3.167 -0.068 3.593
3.048 4.885 5.973
Er Ir Cu
4 2 1
Direct
0.873 0.873 0.380
0.377 0.377 0.869
0.623 0.623 0.131
0.127 0.127 0.620
0.749 0.749 0.754
0.251 0.251 0.246
0.000 0.000 0.000
```

Computed properties:
For the energy relative to the elements, the calculation gives -0.694 eV/atom. The total moment is 0.0 Bohr magnetons per cell. The density is 11.9 g/cm³. For the final energy, the calculation gives -44.92 eV per cell.

***

Record 12
A plane-wave DFT calculation with PBE-GGA was carried out for an optimized crystal structure of Er6Cu2Ir.

Structure (POSCAR):
```
Er6Cu2Ir
1.0
-1.239 -6.996 -4.091
7.624 2.612 -1.506
-0.993 -1.291 8.035
Er Cu Ir
12 4 2
Direct
0.708 0.036 0.328
0.432 0.256 0.175
0.185 0.741 0.926
0.292 0.620 0.328
0.568 0.744 0.825
0.292 0.964 0.672
0.815 0.741 0.556
0.919 0.744 0.175
0.081 0.256 0.825
0.708 0.380 0.672
0.815 0.259 0.074
0.185 0.259 0.444
0.644 0.000 0.644
0.500 0.377 0.877
0.356 0.000 0.356
0.500 0.623 0.123
0.000 0.500 0.500
0.000 0.000 0.000
```

Computed properties:
For the energy relative to the elements, the calculation gives -0.351 eV/atom. The total moment is 0.0 Bohr magnetons per cell. The density is 10.4 g/cm³. For the final energy, the calculation gives -95.19 eV per cell.